Entry 1:
## Mg2TaSe (PBE)

Data for a relaxed structure of Mg2TaSe.

Properties
Magnetic moment = 0.0000 μB/atom
Calculated total energy = -19.08 eV per cell
Raw formation energy = -0.14 eV/atom

a = 3.271 Å, b = 3.271 Å, c = 7.682 Å
α = 90.00°, β = 90.00°, γ = 90.00°
Fractional positions:
Ta  0.500  0.500  0.711
Mg  0.000  0.000  0.975
Se  0.000  0.000  0.546
Mg  0.500  0.500  0.267

=====

Entry 2:
## Cs2KLiIn (PBE)

Data for a relaxed structure of Cs2KLiIn.

Properties
Magnetic moment = 0.0000 μB/atom
Calculated total energy = -6.86 eV per cell
Formation energy from the elements = 0.120 eV per atom

a = 7.562 Å, b = 7.562 Å, c = 5.722 Å
α = 90.00°, β = 90.00°, γ = 90.00°
Fractional positions:
Cs  0.000  0.500  0.000
K  0.500  0.500  0.500
Cs  0.500  0.000  0.000
Li  0.000  0.000  0.500
In  0.000  0.000  0.000

=====

Computed calculated density, in the same sequence as the records: 6.2; 2.2 g cm⁻³.